Record 1
Compound: Ca4SbRh
Source: Alexandria via LeMat-Bulk
Functional: PBEsol
Structure: relaxed

Results
Formation energy (no corrections) = 0.36 eV per atom

abc: 6.024 6.024 6.024
angles: 60.00 60.00 60.00
Element x y z (fractional)
Ca 0.376 0.376 0.376
Ca 0.376 0.376 0.873
Ca 0.873 0.376 0.376
Ca 0.376 0.873 0.376
Rh 0.750 0.750 0.750
Sb 0.000 0.000 0.000

Record 2
Compound: CaSb2Rh
Source: Alexandria via LeMat-Bulk
Functional: PBEsol
Structure: relaxed

Results
Formation energy (no corrections) = -0.65 eV per atom

abc: 4.238 4.238 6.616
angles: 71.32 71.32 60.00
Element x y z (fractional)
Sb 0.947 0.947 0.158
Sb 0.731 0.731 0.807
Ca 0.512 0.512 0.465
Rh 0.334 0.334 0.997

Record 3
Compound: CaSb2Rh
Source: Alexandria via LeMat-Bulk
Functional: PBEsol
Structure: relaxed

Results
Formation energy (no corrections) = -0.41 eV per atom

abc: 3.315 3.315 7.814
angles: 90.00 90.00 90.00
Element x y z (fractional)
Sb 0.000 0.000 0.707
Sb 0.000 0.000 0.293
Ca 0.500 0.500 0.000
Rh 0.500 0.500 0.500

Record 4
Compound: CaSbRh2
Source: Alexandria via LeMat-Bulk
Functional: PBEsol
Structure: relaxed

Results
Formation energy (no corrections) = -0.27 eV per atom

abc: 3.617 3.617 5.565
angles: 90.00 90.00 90.00
Element x y z (fractional)
Sb 0.000 0.000 0.448
Ca 0.500 0.500 0.785
Rh 0.000 0.000 0.986
Rh 0.500 0.500 0.280

Record 5
Compound: CaSb2TeRh
Source: Alexandria via LeMat-Bulk
Functional: PBEsol
Structure: relaxed

Results
Formation energy (no corrections) = -0.21 eV per atom

abc: 4.994 4.994 5.670
angles: 90.00 90.00 90.00
Element x y z (fractional)
Sb 0.000 0.500 0.000
Sb 0.500 0.000 0.000
Ca 0.500 0.500 0.500
Te 0.000 0.000 0.500
Rh 0.000 0.000 0.000

Record 6
Compound: CaScRh2
Source: Alexandria via LeMat-Bulk
Functional: PBEsol
Structure: relaxed

Results
Calculated formation energy = -0.5540 eV per atom

abc: 3.233 4.616 4.616
angles: 90.00 90.00 90.00
Element x y z (fractional)
Sc 0.000 0.500 0.500
Ca 0.000 0.000 0.000
Rh 0.500 0.500 0.000
Rh 0.500 0.000 0.500

Record 7
Compound: CaScRh2
Source: Alexandria via LeMat-Bulk
Functional: PBEsol
Structure: relaxed

Results
Calculated formation energy = -0.1451 eV per atom

abc: 4.595 4.595 4.595
angles: 60.00 60.00 60.00
Element x y z (fractional)
Ca 0.500 0.500 0.500
Rh 0.000 0.000 0.000
Rh 0.750 0.750 0.750
Sc 0.250 0.250 0.250

Record 8
Compound: Ca2ScRhSe
Source: Alexandria via LeMat-Bulk
Functional: PBEsol
Structure: relaxed

Results
Formation energy (no corrections) = -0.07 eV per atom

abc: 4.717 5.309 5.309
angles: 90.00 90.00 90.00
Element x y z (fractional)
Sc 0.500 0.500 0.500
Ca 0.000 0.000 0.500
Ca 0.000 0.500 0.000
Rh 0.000 0.000 0.000
Se 0.500 0.000 0.000